## ZrMo (PBE)

Data for a relaxed ZrMo crystal.

SG ... No. 26
Calculated total energy ... -9.53 eV/atom
Calculated formation energy ... 0.1690 eV per atom

```
ZrMo
1.0
5.6240 -0.0001 0.0000
0.0000 8.3512 0.0000
0.0000 0.0000 4.8571
Mo Zr
6 6
Cartesian
0.3046 0.2605 0.0000
3.1166 1.1313 0.0000
4.4268 1.9218 2.4285
4.4744 4.4553 2.4285
1.6623 5.2877 2.4285
1.6149 7.8212 2.4285
0.1356 2.8992 0.0000
3.0184 3.8776 0.0000
0.2064 5.8655 0.0000
2.9477 6.8438 0.0000
1.7000 2.3010 2.4285
4.5121 7.4420 2.4285
```